No. 1
! CdIn2 (GGA-PBE, optimized geometry); values from VASP
! Crystal system   orthorhombic
! Fermi-level density of states   1.5 states/eV/cell
! Uncorrected energy   -2.060 eV per atom
! ΔE_f   0.0709 eV/atom
! Spin magnetization   0.00 Bohr magnetons per cell
! Volume   164.95 Å³ per cell
&SYSTEM
  ibrav = 0, nat = 6, ntyp = 2
/
ATOMIC_SPECIES
In 114.82 In.upf
Cd 112.41 Cd.upf
ATOMIC_POSITIONS crystal
In 0.000 0.820 0.412
In 0.500 0.320 0.088
In 0.500 0.680 0.912
In 0.000 0.180 0.588
Cd 0.000 0.000 0.000
Cd 0.500 0.500 0.500
CELL_PARAMETERS angstrom
3.320 0.000 0.000
0.000 7.647 0.000
0.000 0.000 6.497

---

No. 2
! Cd4In11 (GGA-PBE, optimized geometry); values from VASP
! Crystal system   tetragonal
! Fermi-level density of states   10.4 states/eV/cell
! Uncorrected energy   -2.200 eV per atom
! ΔE_f   0.0524 eV/atom
! Spin magnetization   0.00 Bohr magnetons per cell
! Volume   801.43 Å³ per cell
&SYSTEM
  ibrav = 0, nat = 30, ntyp = 2
/
ATOMIC_SPECIES
In 114.82 In.upf
Cd 112.41 Cd.upf
ATOMIC_POSITIONS crystal
In 0.751 0.316 0.316
In 0.000 0.399 0.601
In 0.000 0.937 0.726
In 0.500 0.500 0.500
In 0.500 0.563 0.226
In 0.000 0.726 0.937
In 0.500 0.899 0.899
In 0.000 0.000 0.000
In 0.000 0.601 0.399
In 0.000 0.063 0.274
In 0.251 0.184 0.816
In 0.749 0.816 0.184
In 0.500 0.774 0.437
In 0.000 0.274 0.063
In 0.751 0.684 0.684
In 0.749 0.184 0.816
In 0.500 0.101 0.101
In 0.500 0.437 0.774
In 0.249 0.684 0.684
In 0.251 0.816 0.184
In 0.249 0.316 0.316
In 0.500 0.226 0.563
Cd 0.500 0.961 0.635
Cd 0.000 0.135 0.539
Cd 0.000 0.461 0.865
Cd 0.000 0.539 0.135
Cd 0.500 0.039 0.365
Cd 0.500 0.635 0.961
Cd 0.000 0.865 0.461
Cd 0.500 0.365 0.039
CELL_PARAMETERS angstrom
-4.860 3.070 -2.268
1.442 -5.147 -10.056
-6.885 -8.438 3.331

---

No. 3
! Cd11In3 (GGA-PBE, optimized geometry); values from VASP
! Crystal system   orthorhombic
! Fermi-level density of states   4.0 states/eV/cell
! Uncorrected energy   -1.264 eV per atom
! ΔE_f   0.0418 eV/atom
! Spin magnetization   0.00 Bohr magnetons per cell
! Volume   346.30 Å³ per cell
&SYSTEM
  ibrav = 0, nat = 14, ntyp = 2
/
ATOMIC_SPECIES
Cd 112.41 Cd.upf
In 114.82 In.upf
ATOMIC_POSITIONS crystal
Cd 0.500 0.646 0.354
Cd 0.852 0.866 0.431
Cd 0.000 0.500 0.500
Cd 0.372 0.257 0.000
Cd 0.148 0.134 0.569
Cd 0.852 0.431 0.866
Cd 0.148 0.569 0.134
Cd 0.628 0.000 0.743
Cd 0.372 0.000 0.257
Cd 0.628 0.743 0.000
Cd 0.500 0.354 0.646
In 0.000 0.000 0.000
In 0.730 0.270 0.270
In 0.270 0.730 0.730
CELL_PARAMETERS angstrom
-1.035 0.698 4.764
3.786 -6.600 4.336
6.857 4.246 3.413

---

No. 4
! CdIn3 (GGA-PBE, optimized geometry); values from VASP
! Crystal system   orthorhombic
! Fermi-level density of states   1.2 states/eV/cell
! Uncorrected energy   -2.253 eV per atom
! ΔE_f   0.0296 eV/atom
! Spin magnetization   0.00 Bohr magnetons per cell
! Volume   105.40 Å³ per cell
&SYSTEM
  ibrav = 0, nat = 4, ntyp = 2
/
ATOMIC_SPECIES
In 114.82 In.upf
Cd 112.41 Cd.upf
ATOMIC_POSITIONS crystal
In 0.500 0.000 0.506
In 0.500 0.500 0.825
In 0.000 0.500 0.328
Cd 0.000 0.000 0.008
CELL_PARAMETERS angstrom
3.206 0.000 0.000
0.000 5.660 0.000
0.000 0.000 5.809

---

No. 5
! Cd2In3 (GGA-PBE, optimized geometry); values from VASP
! Crystal system   trigonal
! Fermi-level density of states   5.0 states/eV/cell
! Uncorrected energy   -1.962 eV per atom
! ΔE_f   0.0468 eV/atom
! Energy above the lowest structure with this stoichiometry   29.4 meV per atom
! Spin magnetization   0.00 Bohr magnetons per cell
! Volume   265.45 Å³ per cell
&SYSTEM
  ibrav = 0, nat = 10, ntyp = 2
/
ATOMIC_SPECIES
Cd 112.41 Cd.upf
In 114.82 In.upf
ATOMIC_POSITIONS crystal
Cd 0.878 0.878 0.367
Cd 0.122 0.122 0.633
Cd 0.378 0.378 0.867
Cd 0.622 0.622 0.133
In 0.750 0.434 0.750
In 0.434 0.066 0.750
In 0.934 0.250 0.250
In 0.066 0.750 0.750
In 0.566 0.934 0.250
In 0.250 0.566 0.250
CELL_PARAMETERS angstrom
-2.630 4.750 6.813
3.524 -1.327 7.856
3.146 3.886 4.076

---

No. 6
! Cd17In2 (GGA-PBE, optimized geometry); values from VASP
! Crystal system   trigonal
! Fermi-level density of states   7.2 states/eV/cell
! Uncorrected energy   -1.051 eV per atom
! ΔE_f   0.0561 eV/atom
! Spin magnetization   0.00 Bohr magnetons per cell
! Volume   464.12 Å³ per cell
&SYSTEM
  ibrav = 0, nat = 19, ntyp = 2
/
ATOMIC_SPECIES
In 114.82 In.upf
Cd 112.41 Cd.upf
ATOMIC_POSITIONS crystal
In 0.335 0.335 0.335
In 0.665 0.665 0.665
Cd 0.361 0.361 0.841
Cd 0.639 0.159 0.639
Cd 0.700 0.300 0.000
Cd 0.000 0.500 0.000
Cd 0.841 0.361 0.361
Cd 0.639 0.639 0.159
Cd 0.000 0.700 0.300
Cd 0.000 0.000 0.500
Cd 0.159 0.639 0.639
Cd 0.107 0.107 0.107
Cd 0.300 0.000 0.700
Cd 0.300 0.700 0.000
Cd 0.700 0.000 0.300
Cd 0.000 0.300 0.700
Cd 0.361 0.841 0.361
Cd 0.893 0.893 0.893
Cd 0.500 0.000 0.000
CELL_PARAMETERS angstrom
7.618 -0.542 1.550
1.158 7.549 1.550
-0.678 -0.542 7.744

---

No. 7
! Cd11In (GGA-PBE, optimized geometry); values from VASP
! Crystal system   tetragonal
! Fermi-level density of states   8.3 states/eV/cell
! Uncorrected energy   -1.028 eV per atom
! ΔE_f   0.0395 eV/atom
! Spin magnetization   0.00 Bohr magnetons per cell
! Volume   581.91 Å³ per cell
&SYSTEM
  ibrav = 0, nat = 24, ntyp = 2
/
ATOMIC_SPECIES
Cd 112.41 Cd.upf
In 114.82 In.upf
ATOMIC_POSITIONS crystal
Cd 0.082 0.323 0.918
Cd 0.082 0.918 0.323
Cd 0.875 0.750 0.250
Cd 0.323 0.677 0.082
Cd 0.668 0.177 0.582
Cd 0.750 0.500 0.500
Cd 0.595 0.082 0.323
Cd 0.323 0.082 0.677
Cd 0.000 0.000 0.000
Cd 0.875 0.250 0.750
Cd 0.750 0.582 0.823
Cd 0.375 0.750 0.750
Cd 0.155 0.418 0.177
Cd 0.668 0.582 0.177
Cd 0.427 0.823 0.418
Cd 0.875 0.250 0.250
Cd 0.595 0.323 0.082
Cd 0.000 0.677 0.918
Cd 0.750 0.823 0.582
Cd 0.000 0.918 0.677
Cd 0.155 0.177 0.418
Cd 0.427 0.418 0.823
In 0.250 0.500 0.500
In 0.500 0.000 0.000
CELL_PARAMETERS angstrom
7.113 0.000 3.244
3.557 8.627 1.622
-0.023 0.000 9.472

---

No. 8
! Cd4In (GGA-PBE, optimized geometry); values from VASP
! Crystal system   cubic
! Fermi-level density of states   2.4 states/eV/cell
! Uncorrected energy   -1.062 eV per atom
! ΔE_f   0.2181 eV/atom
! Energy above the lowest structure with this stoichiometry   188.0 meV per atom
! Spin magnetization   0.00 Bohr magnetons per cell
! Volume   147.60 Å³ per cell
&SYSTEM
  ibrav = 0, nat = 5, ntyp = 2
/
ATOMIC_SPECIES
Cd 112.41 Cd.upf
In 114.82 In.upf
ATOMIC_POSITIONS crystal
Cd 0.000 0.000 0.500
Cd 0.000 0.500 0.000
Cd 0.500 0.500 0.500
Cd 0.500 0.000 0.000
In 0.000 0.000 0.000
CELL_PARAMETERS angstrom
-3.329 3.329 3.329
3.329 -3.329 3.329
3.329 3.329 -3.329

---

Question: Fermi-level density of states of number 7 (Cd11In)?
Answer: 8.3 states/eV/cell

---

Repeat the first record exactly.
! CdIn2 (GGA-PBE, optimized geometry); values from VASP
! Crystal system   orthorhombic
! Fermi-level density of states   1.5 states/eV/cell
! Uncorrected energy   -2.060 eV per atom
! ΔE_f   0.0709 eV/atom
! Spin magnetization   0.00 Bohr magnetons per cell
! Volume   164.95 Å³ per cell
&SYSTEM
  ibrav = 0, nat = 6, ntyp = 2
/
ATOMIC_SPECIES
In 114.82 In.upf
Cd 112.41 Cd.upf
ATOMIC_POSITIONS crystal
In 0.000 0.820 0.412
In 0.500 0.320 0.088
In 0.500 0.680 0.912
In 0.000 0.180 0.588
Cd 0.000 0.000 0.000
Cd 0.500 0.500 0.500
CELL_PARAMETERS angstrom
3.320 0.000 0.000
0.000 7.647 0.000
0.000 0.000 6.497

---

Question: Among the records above, which one has the highest volume?
Answer: Cd4In11

---

What did the second record say?
! Cd4In11 (GGA-PBE, optimized geometry); values from VASP
! Crystal system   tetragonal
! Fermi-level density of states   10.4 states/eV/cell
! Uncorrected energy   -2.200 eV per atom
! ΔE_f   0.0524 eV/atom
! Spin magnetization   0.00 Bohr magnetons per cell
! Volume   801.43 Å³ per cell
&SYSTEM
  ibrav = 0, nat = 30, ntyp = 2
/
ATOMIC_SPECIES
In 114.82 In.upf
Cd 112.41 Cd.upf
ATOMIC_POSITIONS crystal
In 0.751 0.316 0.316
In 0.000 0.399 0.601
In 0.000 0.937 0.726
In 0.500 0.500 0.500
In 0.500 0.563 0.226
In 0.000 0.726 0.937
In 0.500 0.899 0.899
In 0.000 0.000 0.000
In 0.000 0.601 0.399
In 0.000 0.063 0.274
In 0.251 0.184 0.816
In 0.749 0.816 0.184
In 0.500 0.774 0.437
In 0.000 0.274 0.063
In 0.751 0.684 0.684
In 0.749 0.184 0.816
In 0.500 0.101 0.101
In 0.500 0.437 0.774
In 0.249 0.684 0.684
In 0.251 0.816 0.184
In 0.249 0.316 0.316
In 0.500 0.226 0.563
Cd 0.500 0.961 0.635
Cd 0.000 0.135 0.539
Cd 0.000 0.461 0.865
Cd 0.000 0.539 0.135
Cd 0.500 0.039 0.365
Cd 0.500 0.635 0.961
Cd 0.000 0.865 0.461
Cd 0.500 0.365 0.039
CELL_PARAMETERS angstrom
-4.860 3.070 -2.268
1.442 -5.147 -10.056
-6.885 -8.438 3.331